# ScTlFeCo

Crystalline ScTlFeCo at its relaxed geometry (PBE, OQMD).

Summary:
**Raw total energy**: -23.3 eV for the cell shown
**Energy above the lowest structure with this stoichiometry**: 5.0 kJ/mol of atoms
**Volume**: 66.67 Å³ per cell

Unit cell a=4.551 b=4.551 c=4.551 alpha=60.00 beta=60.00 gamma=60.00
Fractional positions:
1 Sc 0.000 0.000 0.000
2 Tl 0.250 0.250 0.250
3 Fe 0.500 0.500 0.500
4 Co 0.750 0.750 0.750